MnSi2Ni | GGA-PBE | relaxed

The structure belongs to space group Fm-3m (No. 225); the cell edges are 5.6428, 5.6428 and 5.6428 Å and the angles 90.00°, 90.00° and 90.00°. The asymmetric unit holds Mn at (0.0000, 0.0000, 0.0000), Si at (0.2500, 0.2500, 0.2500) and Ni at (0.0000, 0.0000, 0.5000).

Its total energy is -6.7195 eV/atom. The value obtained for the uncorrected formation energy is -0.27 eV/atom. The calculation puts the calculated volume at 180 Å³ per cell.

ZrCu6Pd8 | GGA-PBE | relaxed

The structure belongs to space group R-3 (No. 148, hexagonal axes); the cell edges are 7.9635, 7.9635 and 12.6724 Å and the angles 90.00°, 90.00° and 120.00°. The asymmetric unit holds Zr at (0.0000, 0.0000, 0.0000), Cu at (0.0220, 0.8261, 0.4083), Pd at (0.0000, 0.0000, 0.2336) and Pd at (0.0251, 0.7269, 0.9033).

Its total energy is -5.0356 eV/atom. The formation energy is -0.058 eV per atom. The calculation puts the calculated volume at 696 Å³ per cell.

Hf2Tl2Hg | GGA-PBE | relaxed

The structure belongs to space group P4/mbm (No. 127); the cell edges are 7.7602, 7.7602 and 3.8710 Å and the angles 90.00°, 90.00° and 90.00°. The asymmetric unit holds Hf at (0.1731, 0.3269, 0.0000), Tl at (0.1313, 0.6313, 0.5000) and Hg at (0.0000, 0.0000, 0.5000).

Its total energy is -4.6247 eV/atom. The formation energy is 0.364 eV per atom. The calculation puts the calculated volume at 233 Å³ per cell.

YMg2Co9 | GGA-PBE | relaxed

The structure belongs to space group R-3m (No. 166, hexagonal axes); the cell edges are 4.8918, 4.8918 and 23.5403 Å and the angles 90.00°, 90.00° and 120.00°. The asymmetric unit holds Y at (0.0000, 0.0000, 0.0000), Mg at (0.0000, 0.0000, 0.1434), Co at (0.0000, 0.0000, 0.3362), Co at (0.0000, 0.0000, 0.5000) and Co at (0.0075, 0.5038, 0.9154).

Its total energy is -6.2101 eV/atom. The formation energy is -0.076 eV per atom. The calculation puts the calculated volume at 488 Å³ per cell.

CdReSb | GGA-PBE | relaxed

The structure belongs to space group I4mm (No. 107); the cell edges are 3.4469, 3.4469 and 9.7906 Å and the angles 90.00°, 90.00° and 90.00°. The asymmetric unit holds Cd at (0.0000, 0.0000, 0.0000), Re at (0.0000, 0.0000, 0.6768) and Sb at (0.0000, 0.0000, 0.3072).

Its total energy is -5.3264 eV/atom. The value obtained for the uncorrected formation energy is 0.50 eV/atom. The calculation puts the calculated volume at 116 Å³ per cell.

SiS | GGA-PBE | relaxed

The structure belongs to space group P6_3mc (No. 186); the cell edges are 4.5104, 4.5104 and 5.3085 Å and the angles 90.00°, 90.00° and 120.00°. The asymmetric unit holds Si at (0.3333, 0.6667, 0.0000) and S at (0.3333, 0.6667, 0.4338).

Its total energy is -4.5622 eV/atom. The value obtained for the uncorrected formation energy is 0.21 eV/atom. The calculation puts the calculated volume at 94 Å³ per cell.

- Among the records above, which one has the lowest calculated volume?
  SiS

- Number 4 is which compound?
  YMg2Co9